First-principles (meta-GGA SCAN) data for ErSiNi3 at its PBEsol-relaxed geometry, as listed in Alexandria.

V, Å³ per atom: 13.8
Crystal system: tetragonal
Formation energy from raw total energies, eV per formula unit: -3.110
DOS at the Fermi energy, states/eV per cell: 2.4
SG: I4mm (107)

a b c (Å): 3.716 3.716 5.651
angles (deg): 109.20 109.20 90.00
Fractional coordinates of all 5 atoms:
Ni 0.398 0.398 0.796
Ni 0.747 0.247 0.495
Si 0.620 0.620 0.240
Er 0.987 0.987 0.975
Ni 0.247 0.747 0.495


First-principles (meta-GGA SCAN) data for Er3Si3Ni at its PBEsol-relaxed geometry, as listed in Alexandria.

V, Å³ per atom: 18.5
Crystal system: monoclinic
Formation energy from raw total energies, eV per formula unit: -6.012
DOS at the Fermi energy, states/eV per cell: 8.9
SG: C2/m (12)

a b c (Å): 4.118 5.468 12.609
angles (deg): 84.72 80.60 67.88
Fractional coordinates of all 14 atoms:
Si 0.885 0.154 0.076
Er 0.252 0.267 0.228
Si 0.138 0.266 0.457
Er 0.601 0.719 0.079
Ni 0.753 0.093 0.402
Er 0.529 0.322 0.620
Si 0.047 0.144 0.763
Er 0.748 0.733 0.772
Si 0.862 0.734 0.543
Si 0.953 0.856 0.237
Ni 0.247 0.907 0.598
Er 0.399 0.281 0.921
Er 0.471 0.678 0.380
Si 0.115 0.846 0.924


First-principles (meta-GGA SCAN) data for Er3Si2Ni6 at its PBEsol-relaxed geometry, as listed in Alexandria.

V, Å³ per atom: 14.4
Crystal system: cubic
Formation energy from raw total energies, eV per formula unit: -7.799
DOS at the Fermi energy, states/eV per cell: 4.9
SG: Im-3m (229)

a b c (Å): 7.444 7.444 7.444
angles (deg): 109.47 109.47 109.47
Fractional coordinates of all 22 atoms:
Er 0.714 0.714 0.000
Ni 0.331 0.669 0.000
Ni 0.669 0.000 0.331
Er 0.286 0.286 0.000
Si 0.500 0.500 0.500
Er 0.000 0.286 0.286
Ni 0.337 0.669 0.669
Ni 0.669 0.669 0.337
Si 0.500 0.000 0.000
Ni 0.669 0.331 0.000
Er 0.000 0.714 0.714
Ni 0.663 0.331 0.331
Si 0.000 0.000 0.500
Ni 0.331 0.000 0.669
Ni 0.000 0.331 0.669
Ni 0.331 0.331 0.663
Er 0.714 0.000 0.714
Ni 0.331 0.663 0.331
Si 0.000 0.500 0.000
Er 0.286 0.000 0.286
Ni 0.000 0.669 0.331
Ni 0.669 0.337 0.669


First-principles (meta-GGA SCAN) data for Er2NiSn6 at its PBEsol-relaxed geometry, as listed in Alexandria.

V, Å³ per atom: 23.0
Crystal system: orthorhombic
DOS at the Fermi energy, states/eV per cell: 2.9
SG: Cmmm (65)
ΔE_f, eV per atom: -0.492

a b c (Å): 4.292 4.344 11.310
angles (deg): 90.00 100.94 90.00
Fractional coordinates of all 9 atoms:
Sn 0.570 0.000 0.140
Ni 0.500 0.500 0.000
Sn 0.071 0.500 0.142
Sn 0.705 0.500 0.409
Sn 0.295 0.500 0.591
Sn 0.929 0.500 0.858
Er 0.178 0.000 0.356
Sn 0.430 0.000 0.860
Er 0.822 0.000 0.644


First-principles (meta-GGA SCAN) data for YErNi2 at its PBEsol-relaxed geometry, as listed in Alexandria.

V, Å³ per atom: 18.9
Crystal system: orthorhombic
DOS at the Fermi energy, states/eV per cell: 5.1
SG: Pmc2_1 (26)
ΔE_f, eV per atom: -0.466

a b c (Å): 4.060 5.348 6.946
angles (deg): 90.00 90.00 90.00
Fractional coordinates of all 8 atoms:
Ni 0.000 0.371 0.036
Y 0.500 0.617 0.821
Ni 0.000 0.629 0.536
Er 0.000 0.883 0.181
Ni 0.500 0.879 0.463
Y 0.500 0.383 0.321
Er 0.000 0.117 0.681
Ni 0.500 0.121 0.963


First-principles (meta-GGA SCAN) data for ErO at its PBEsol-relaxed geometry, as listed in Alexandria.

V, Å³ per atom: 15.4
Crystal system: hexagonal
Formation energy from raw total energies, eV per formula unit: -6.112
DOS at the Fermi energy, states/eV per cell: 1.9
SG: P6_3/mmc (194)

a b c (Å): 3.894 3.894 4.694
angles (deg): 90.00 90.00 120.00
Site moments in Bohr magnetons follow the coordinates.
Fractional coordinates of all 4 atoms:
Er 0.667 0.333 0.250  0.15
Er 0.333 0.667 0.750  0.15
O 0.667 0.333 0.750  0.06
O 0.333 0.667 0.250  0.06